# 1
The following is a GGA-PBE calculation of crystalline Nd8Si2C at its relaxed geometry, from Alexandria.

Cell and atoms, written as CIF:
```
data_Nd8Si2C
_symmetry_space_group_name_H-M 'C 1 2/m 1'
_symmetry_Int_Tables_number 12
_cell_length_a 20.767
_cell_length_b 4.016
_cell_length_c 7.919
_cell_angle_alpha 90.00
_cell_angle_beta 98.12
_cell_angle_gamma 90.00
loop_
_symmetry_equiv_pos_as_xyz
'x,y,z'
'-x,-y,-z'
'-x,y,-z'
'x,-y,z'
'x+1/2,y+1/2,z'
'-x+1/2,-y+1/2,-z'
'-x+1/2,y+1/2,-z'
'x+1/2,-y+1/2,z'
loop_
_atom_site_label
_atom_site_fract_x
_atom_site_fract_y
_atom_site_fract_z
Nd1 0.005 0.000 0.213
Nd2 0.099 0.500 0.531
Nd3 0.123 0.500 0.029
Nd4 0.233 0.000 0.694
Si1 0.159 0.000 0.324
C1 0.000 0.500 0.000
```

Results
energy relative to the elements, uncorrected	-0.2309	eV per atom
total moment	0.44	μB/f.u.
E	-5.52	eV per atom

---

# 2
The following is a GGA-PBE calculation of crystalline Hf2Ti2Pd5 at its relaxed geometry, from Alexandria.

Cell and atoms, written as CIF:
```
data_Hf2Ti2Pd5
_symmetry_space_group_name_H-M 'I m a 2'
_symmetry_Int_Tables_number 46
_cell_length_a 14.722
_cell_length_b 7.719
_cell_length_c 5.618
_cell_angle_alpha 90.00
_cell_angle_beta 90.00
_cell_angle_gamma 90.00
loop_
_symmetry_equiv_pos_as_xyz
'x,y,z'
'-x,-y,z'
'-x+1/2,y,z'
'x+1/2,-y,z'
'x+1/2,y+1/2,z+1/2'
'-x+1/2,-y+1/2,z+1/2'
'-x,y+1/2,z+1/2'
'x,-y+1/2,z+1/2'
loop_
_atom_site_label
_atom_site_fract_x
_atom_site_fract_y
_atom_site_fract_z
Hf1 0.000 0.000 0.000
Hf2 0.250 0.109 0.942
Ti1 0.074 0.580 0.006
Pd1 0.094 0.249 0.735
Pd2 0.159 0.662 0.631
Pd3 0.250 0.048 0.475
```

Results
ΔE_f	-0.438	eV per atom
total moment	1.01	μB/f.u.
E	-7.29	eV per atom

---

# 3
The following is a GGA-PBE calculation of crystalline MgB2O at its relaxed geometry, from Alexandria.

Cell and atoms, written as CIF:
```
data_MgB2O
_symmetry_space_group_name_H-M 'F m -3 m'
_symmetry_Int_Tables_number 225
_symmetry_space_group_name_Hall '-F 4 2 3'
_cell_length_a 5.660
_cell_length_b 5.660
_cell_length_c 5.660
_cell_angle_alpha 90.00
_cell_angle_beta 90.00
_cell_angle_gamma 90.00
loop_
_atom_site_label
_atom_site_fract_x
_atom_site_fract_y
_atom_site_fract_z
Mg1 0.000 0.000 0.000
B1 0.250 0.250 0.250
O1 0.000 0.000 0.500
```

Results
energy relative to the elements, uncorrected	1.6353	eV per atom
total moment	0.01	μB/f.u.
E	-3.34	eV per atom

---

# 4
The following is a GGA-PBE calculation of crystalline AgPd2Pb2 at its relaxed geometry, from Alexandria.

Cell and atoms, written as CIF:
```
data_AgPd2Pb2
_symmetry_space_group_name_H-M 'I 4/m m m'
_symmetry_Int_Tables_number 139
_symmetry_space_group_name_Hall '-I 4 2'
_cell_length_a 4.548
_cell_length_b 4.548
_cell_length_c 11.757
_cell_angle_alpha 90.00
_cell_angle_beta 90.00
_cell_angle_gamma 90.00
loop_
_atom_site_label
_atom_site_fract_x
_atom_site_fract_y
_atom_site_fract_z
Ag1 0.000 0.000 0.000
Pd1 0.000 0.000 0.390
Pb1 0.000 0.500 0.250
```

Results
ΔE_f	0.181	eV per atom
total moment	0.00	μB/f.u.
E	-3.95	eV per atom

---

# 5
The following is a GGA-PBE calculation of crystalline Na3Sm4Te8 at its relaxed geometry, from Alexandria.

Cell and atoms, written as CIF:
```
data_Na3Sm4Te8
_symmetry_space_group_name_H-M 'C 1 2/m 1'
_symmetry_Int_Tables_number 12
_cell_length_a 12.580
_cell_length_b 12.749
_cell_length_c 8.887
_cell_angle_alpha 90.00
_cell_angle_beta 134.18
_cell_angle_gamma 90.00
loop_
_symmetry_equiv_pos_as_xyz
'x,y,z'
'-x,-y,-z'
'-x,y,-z'
'x,-y,z'
'x+1/2,y+1/2,z'
'-x+1/2,-y+1/2,-z'
'-x+1/2,y+1/2,-z'
'x+1/2,-y+1/2,z'
loop_
_atom_site_label
_atom_site_fract_x
_atom_site_fract_y
_atom_site_fract_z
Na1 0.000 0.000 0.000
Na2 0.250 0.250 0.000
Sm1 0.000 0.500 0.000
Sm2 0.000 0.500 0.500
Sm3 0.250 0.250 0.500
Te1 0.000 0.253 0.000
Te2 0.000 0.253 0.500
Te3 0.239 0.500 0.987
Te4 0.249 0.000 0.505
```

Results
energy relative to the elements, uncorrected	-1.2050	eV per atom
total moment	0.00	μB/f.u.
E	-4.40	eV per atom

---

# 6
The following is a GGA-PBE calculation of crystalline Sc8Cd2Fe at its relaxed geometry, from Alexandria.

Cell and atoms, written as CIF:
```
data_Sc8Cd2Fe
_symmetry_space_group_name_H-M 'C 1 m 1'
_symmetry_Int_Tables_number 8
_cell_length_a 7.059
_cell_length_b 14.662
_cell_length_c 5.717
_cell_angle_alpha 90.00
_cell_angle_beta 122.29
_cell_angle_gamma 90.00
loop_
_symmetry_equiv_pos_as_xyz
'x,y,z'
'x,-y,z'
'x+1/2,y+1/2,z'
'x+1/2,-y+1/2,z'
loop_
_atom_site_label
_atom_site_fract_x
_atom_site_fract_y
_atom_site_fract_z
Sc1 0.000 0.000 0.000
Sc2 0.003 0.394 0.099
Sc3 0.029 0.107 0.508
Sc4 0.241 0.310 0.749
Sc5 0.455 0.000 0.579
Cd1 0.234 0.209 0.250
Fe1 0.250 0.500 0.505
```

Results
ΔE_f	-0.079	eV per atom
total moment	0.00	μB/f.u.
E	-5.62	eV per atom

---

# 7
The following is a GGA-PBE calculation of crystalline Li2Ca2DyCd5 at its relaxed geometry, from Alexandria.

Cell and atoms, written as CIF:
```
data_Li2Ca2DyCd5
_symmetry_space_group_name_H-M 'P 4/m b m'
_symmetry_Int_Tables_number 127
_symmetry_space_group_name_Hall '-P 4 2ab'
_cell_length_a 10.869
_cell_length_b 10.869
_cell_length_c 4.066
_cell_angle_alpha 90.00
_cell_angle_beta 90.00
_cell_angle_gamma 90.00
loop_
_atom_site_label
_atom_site_fract_x
_atom_site_fract_y
_atom_site_fract_z
Li1 0.117 0.383 0.000
Ca1 0.180 0.680 0.000
Dy1 0.000 0.000 0.000
Cd1 0.000 0.500 0.500
Cd2 0.060 0.215 0.500
```

Results
ΔE_f	-0.290	eV per atom
total moment	0.00	μB/f.u.
E	-1.99	eV per atom

---

# 8
The following is a GGA-PBE calculation of crystalline Ho2ThFe at its relaxed geometry, from Alexandria.

Cell and atoms, written as CIF:
```
data_Ho2ThFe
_symmetry_space_group_name_H-M 'P n m a'
_symmetry_Int_Tables_number 62
_cell_length_a 6.967
_cell_length_b 9.497
_cell_length_c 6.258
_cell_angle_alpha 90.00
_cell_angle_beta 90.00
_cell_angle_gamma 90.00
loop_
_symmetry_equiv_pos_as_xyz
'x,y,z'
'-x,-y,-z'
'-x+1/2,-y,z+1/2'
'x+1/2,y,-z+1/2'
'x+1/2,-y+1/2,-z+1/2'
'-x+1/2,y+1/2,z+1/2'
'-x,y+1/2,-z'
'x,-y+1/2,z'
loop_
_atom_site_label
_atom_site_fract_x
_atom_site_fract_y
_atom_site_fract_z
Ho1 0.168 0.069 0.176
Th1 0.059 0.250 0.656
Fe1 0.132 0.750 0.984
```

Results
ΔE_f	-0.101	eV per atom
total moment	0.00	μB/f.u.
E	-6.36	eV per atom

---

# 9
The following is a GGA-PBE calculation of crystalline TbNd2Ga2Ag2 at its relaxed geometry, from Alexandria.

Cell and atoms, written as CIF:
```
data_TbNd2Ga2Ag2
_symmetry_space_group_name_H-M 'R -3 m'
_symmetry_Int_Tables_number 166
_symmetry_space_group_name_Hall '-R 3 2"'
_cell_length_a 4.6408
_cell_length_b 4.6408
_cell_length_c 27.5720
_cell_angle_alpha 90.00
_cell_angle_beta 90.00
_cell_angle_gamma 120.00
loop_
_atom_site_label
_atom_site_fract_x
_atom_site_fract_y
_atom_site_fract_z
Tb1 0.0000 0.0000 0.0000
Nd1 0.0000 0.0000 0.1249
Ga1 0.0000 0.0000 0.2636
Ag1 0.0000 0.0000 0.3927
```

Results
ΔE_f	-0.376	eV per atom
total moment	0.00	μB/f.u.
E	-4.08	eV per atom

---

# 10
The following is a GGA-PBE calculation of crystalline ZnHOs at its relaxed geometry, from Alexandria.

Cell and atoms, written as CIF:
```
data_ZnHOs
_symmetry_space_group_name_H-M 'P 1 21/m 1'
_symmetry_Int_Tables_number 11
_cell_length_a 4.606
_cell_length_b 2.842
_cell_length_c 5.043
_cell_angle_alpha 90.00
_cell_angle_beta 106.38
_cell_angle_gamma 90.00
loop_
_symmetry_equiv_pos_as_xyz
'x,y,z'
'-x,-y,-z'
'-x,y+1/2,-z'
'x,-y+1/2,z'
loop_
_atom_site_label
_atom_site_fract_x
_atom_site_fract_y
_atom_site_fract_z
Zn1 0.015 0.250 0.232
H1 0.334 0.750 0.532
Os1 0.491 0.250 0.778
```

Results
total moment	0.00	μB/f.u.
E	-5.04	eV per atom

---

# 11
The following is a GGA-PBE calculation of crystalline BeAsH3 at its relaxed geometry, from Alexandria.

Cell and atoms, written as CIF:
```
data_BeAsH3
_symmetry_space_group_name_H-M 'P m -3 m'
_symmetry_Int_Tables_number 221
_symmetry_space_group_name_Hall '-P 4 2 3'
_cell_length_a 3.353
_cell_length_b 3.353
_cell_length_c 3.353
_cell_angle_alpha 90.00
_cell_angle_beta 90.00
_cell_angle_gamma 90.00
loop_
_atom_site_label
_atom_site_fract_x
_atom_site_fract_y
_atom_site_fract_z
Be1 0.000 0.000 0.000
As1 0.500 0.500 0.500
H1 0.000 0.000 0.500
```

Results
total moment	0.00	μB/f.u.
E	-3.00	eV per atom

---

# 12
The following is a GGA-PBE calculation of crystalline Ca2YTcN at its relaxed geometry, from Alexandria.

Cell and atoms, written as CIF:
```
data_Ca2YTcN
_symmetry_space_group_name_H-M 'P 4/m m m'
_symmetry_Int_Tables_number 123
_symmetry_space_group_name_Hall '-P 4 2'
_cell_length_a 6.280
_cell_length_b 6.280
_cell_length_c 4.118
_cell_angle_alpha 90.00
_cell_angle_beta 90.00
_cell_angle_gamma 90.00
loop_
_atom_site_label
_atom_site_fract_x
_atom_site_fract_y
_atom_site_fract_z
Ca1 0.000 0.500 0.000
Y1 0.000 0.000 0.000
Tc1 0.500 0.500 0.500
N1 0.000 0.000 0.500
```

Results
energy relative to the elements, uncorrected	1.2549	eV per atom
total moment	3.00	μB/f.u.
E	-4.58	eV per atom

---

# 13
The following is a GGA-PBE calculation of crystalline CdSiPt2 at its relaxed geometry, from Alexandria.

Cell and atoms, written as CIF:
```
data_CdSiPt2
_symmetry_space_group_name_H-M 'I -4 2 d'
_symmetry_Int_Tables_number 122
_symmetry_space_group_name_Hall 'I -4 2bw'
_cell_length_a 7.098
_cell_length_b 7.098
_cell_length_c 5.592
_cell_angle_alpha 90.00
_cell_angle_beta 90.00
_cell_angle_gamma 90.00
loop_
_atom_site_label
_atom_site_fract_x
_atom_site_fract_y
_atom_site_fract_z
Cd1 0.000 0.000 0.000
Si1 0.000 0.000 0.500
Pt1 0.188 0.250 0.625
```

Results
energy relative to the elements, uncorrected	-0.3462	eV per atom
total moment	0.00	μB/f.u.
E	-4.95	eV per atom

---

# 14
The following is a GGA-PBE calculation of crystalline FeIr4W at its relaxed geometry, from Alexandria.

Cell and atoms, written as CIF:
```
data_FeIr4W
_symmetry_space_group_name_H-M 'C 1 2/m 1'
_symmetry_Int_Tables_number 12
_cell_length_a 9.124
_cell_length_b 2.735
_cell_length_c 7.642
_cell_angle_alpha 90.00
_cell_angle_beta 114.93
_cell_angle_gamma 90.00
loop_
_symmetry_equiv_pos_as_xyz
'x,y,z'
'-x,-y,-z'
'-x,y,-z'
'x,-y,z'
'x+1/2,y+1/2,z'
'-x+1/2,-y+1/2,-z'
'-x+1/2,y+1/2,-z'
'x+1/2,-y+1/2,z'
loop_
_atom_site_label
_atom_site_fract_x
_atom_site_fract_y
_atom_site_fract_z
Fe1 0.000 0.000 0.000
Ir1 0.163 0.500 0.836
Ir2 0.166 0.500 0.329
W1 0.000 0.000 0.500
```

Results
ΔE_f	-0.104	eV per atom
total moment	1.96	μB/f.u.
E	-9.58	eV per atom

---

# 15
The following is a GGA-PBE calculation of crystalline Gd2HoTe at its relaxed geometry, from Alexandria.

Cell and atoms, written as CIF:
```
data_Gd2HoTe
_symmetry_space_group_name_H-M 'R -3 m'
_symmetry_Int_Tables_number 166
_symmetry_space_group_name_Hall '-R 3 2"'
_cell_length_a 3.8095
_cell_length_b 3.8095
_cell_length_c 32.3771
_cell_angle_alpha 90.00
_cell_angle_beta 90.00
_cell_angle_gamma 120.00
loop_
_atom_site_label
_atom_site_fract_x
_atom_site_fract_y
_atom_site_fract_z
Gd1 0.0000 0.0000 0.1009
Ho1 0.0000 0.0000 0.0000
Te1 0.0000 0.0000 0.5000
```

Results
energy relative to the elements, uncorrected	-0.2625	eV per atom
total moment	16.14	μB/f.u.
E	-9.23	eV per atom

---

# 16
The following is a GGA-PBE calculation of crystalline AcMgRh at its relaxed geometry, from Alexandria.

Cell and atoms, written as CIF:
```
data_AcMgRh
_symmetry_space_group_name_H-M 'I 4 m m'
_symmetry_Int_Tables_number 107
_symmetry_space_group_name_Hall 'I 4 -2'
_cell_length_a 3.514
_cell_length_b 3.514
_cell_length_c 12.169
_cell_angle_alpha 90.00
_cell_angle_beta 90.00
_cell_angle_gamma 90.00
loop_
_atom_site_label
_atom_site_fract_x
_atom_site_fract_y
_atom_site_fract_z
Ac1 0.000 0.000 0.000
Mg1 0.000 0.000 0.732
Rh1 0.000 0.000 0.346
```

Results
ΔE_f	-0.315	eV per atom
total moment	0.00	μB/f.u.
E	-4.67	eV per atom

---

# 17
The following is a GGA-PBE calculation of crystalline TaOs3 at its relaxed geometry, from Alexandria.

Cell and atoms, written as CIF:
```
data_TaOs3
_symmetry_space_group_name_H-M 'P m -3 m'
_symmetry_Int_Tables_number 221
_symmetry_space_group_name_Hall '-P 4 2 3'
_cell_length_a 3.928
_cell_length_b 3.928
_cell_length_c 3.928
_cell_angle_alpha 90.00
_cell_angle_beta 90.00
_cell_angle_gamma 90.00
loop_
_atom_site_label
_atom_site_fract_x
_atom_site_fract_y
_atom_site_fract_z
Ta1 0.000 0.000 0.000
Os1 0.000 0.500 0.500
```

Results
ΔE_f	-0.139	eV per atom
total moment	0.00	μB/f.u.
E	-11.52	eV per atom

---

# 18
The following is a GGA-PBE calculation of crystalline Li5ZnAg2Au2 at its relaxed geometry, from Alexandria.

Cell and atoms, written as CIF:
```
data_Li5ZnAg2Au2
_symmetry_space_group_name_H-M 'P 4/m b m'
_symmetry_Int_Tables_number 127
_symmetry_space_group_name_Hall '-P 4 2ab'
_cell_length_a 9.807
_cell_length_b 9.807
_cell_length_c 3.566
_cell_angle_alpha 90.00
_cell_angle_beta 90.00
_cell_angle_gamma 90.00
loop_
_atom_site_label
_atom_site_fract_x
_atom_site_fract_y
_atom_site_fract_z
Li1 0.000 0.500 0.000
Li2 0.112 0.174 0.000
Zn1 0.000 0.000 0.500
Ag1 0.159 0.659 0.500
Au1 0.135 0.365 0.500
```

Results
ΔE_f	-0.220	eV per atom
total moment	0.00	μB/f.u.
E	-2.53	eV per atom

---

# 19
The following is a GGA-PBE calculation of crystalline PmNb2N at its relaxed geometry, from Alexandria.

Cell and atoms, written as CIF:
```
data_PmNb2N
_symmetry_space_group_name_H-M 'R -3 m'
_symmetry_Int_Tables_number 166
_symmetry_space_group_name_Hall '-R 3 2"'
_cell_length_a 3.2285
_cell_length_b 3.2285
_cell_length_c 24.9977
_cell_angle_alpha 90.00
_cell_angle_beta 90.00
_cell_angle_gamma 120.00
loop_
_atom_site_label
_atom_site_fract_x
_atom_site_fract_y
_atom_site_fract_z
Pm1 0.0000 0.0000 0.0000
Nb1 0.0000 0.0000 0.1217
N1 0.0000 0.0000 0.5000
```

Results
energy relative to the elements, uncorrected	-0.1546	eV per atom
total moment	0.01	μB/f.u.
E	-8.46	eV per atom